[1]
CaTeW3: relaxed, PBE-GGA.

Unit cell a=4.7624 b=4.7624 c=4.7624 alpha=90.00 beta=90.00 gamma=90.00
Element x y z (fractional)
Ca 0.0000 0.0000 0.0000
Te 0.5000 0.5000 0.5000
W 0.0000 0.5000 0.0000
W 0.0000 0.0000 0.5000
W 0.5000 0.0000 0.0000

***

[2]
CaTeW2: relaxed, PBE-GGA.

Unit cell a=3.6121 b=3.6121 c=6.5507 alpha=90.00 beta=90.00 gamma=90.00
Element x y z (fractional)
Ca 0.5000 0.5000 0.2500
Te 0.5000 0.5000 0.7500
W 0.0000 0.0000 0.9422
W 0.0000 0.0000 0.5578

***

[3]
CaTe2W: relaxed, PBE-GGA.

Unit cell a=7.3498 b=7.3498 c=7.3498 alpha=151.80 beta=137.77 gamma=51.56
Element x y z (fractional)
Ca 0.2500 0.7500 0.5000
Te 0.9045 0.9045 0.0000
Te 0.5955 0.5955 0.0000
W 0.7500 0.2500 0.5000

***

[4]
CaTeW2: relaxed, PBE-GGA.

Unit cell a=3.5163 b=4.4443 c=5.1686 alpha=90.00 beta=90.00 gamma=90.00
Element x y z (fractional)
Ca 0.5000 0.0000 0.5000
Te 0.0000 0.5000 0.5000
W 0.0000 0.0000 0.0000
W 0.5000 0.5000 0.0000

***

[5]
CaTeW2: relaxed, PBE-GGA.

Unit cell a=5.7083 b=5.7083 c=5.7083 alpha=144.55 beta=126.52 gamma=65.82
Element x y z (fractional)
Ca 0.5045 0.5045 0.0000
Te 0.2292 0.7292 0.5000
W 0.9792 0.9792 0.0000
W 0.7871 0.2871 0.5000

***

[6]
CaTe2W: relaxed, PBE-GGA.

Unit cell a=6.5743 b=6.5743 c=6.5743 alpha=142.42 beta=142.42 gamma=54.20
Element x y z (fractional)
Ca 0.7500 0.2500 0.5000
Te 0.0000 0.0000 0.0000
Te 0.2500 0.7500 0.5000
W 0.5000 0.5000 0.0000

***

[7]
CaTe2W: relaxed, PBE-GGA.

Unit cell a=6.4335 b=6.4335 c=8.1882 alpha=66.87 beta=66.87 gamma=90.00
Element x y z (fractional)
Ca 0.5000 0.5000 0.0000
Ca 0.2500 0.7500 0.5000
Te 0.6868 0.1250 0.2500
Te 0.0632 0.6250 0.2500
Te 0.3750 0.3132 0.7500
Te 0.8750 0.9368 0.7500
W 0.0000 0.0000 0.0000
W 0.7500 0.2500 0.5000

***

[8]
CaTeW2: relaxed, PBE-GGA.

Unit cell a=9.6845 b=9.6845 c=9.6845 alpha=18.79 beta=18.79 gamma=18.79
Element x y z (fractional)
Ca 0.2500 0.2500 0.2500
Te 0.7500 0.7500 0.7500
W 0.0099 0.0099 0.0099
W 0.4901 0.4901 0.4901

***

[9]
CaTe2W: relaxed, PBE-GGA.

Unit cell a=4.9966 b=4.9966 c=4.9966 alpha=60.00 beta=60.00 gamma=60.00
Element x y z (fractional)
Ca 0.0000 0.0000 0.0000
Te 0.2500 0.2500 0.2500
Te 0.7500 0.7500 0.7500
W 0.5000 0.5000 0.5000

***

[10]
CaTeW2: relaxed, PBE-GGA.

Unit cell a=4.1639 b=4.1639 c=10.8455 alpha=78.93 beta=78.93 gamma=90.00
Element x y z (fractional)
Ca 0.5000 0.5000 0.0000
Ca 0.2500 0.7500 0.5000
Te 0.0000 0.0000 0.0000
Te 0.7500 0.2500 0.5000
W 0.6946 0.1250 0.2500
W 0.0554 0.6250 0.2500
W 0.3750 0.3054 0.7500
W 0.8750 0.9446 0.7500

***

[11]
CaTeW2: relaxed, PBE-GGA.

Unit cell a=5.3968 b=2.8964 c=5.2481 alpha=89.98 beta=90.00 gamma=90.00
Element x y z (fractional)
Ca 0.5000 0.2500 0.2500
Te 0.5000 0.7500 0.7500
W 0.0000 0.8391 0.0048
W 0.0000 0.6609 0.4952

***

[12]
CaTeW2: relaxed, PBE-GGA.

Unit cell a=3.3444 b=3.3444 c=7.9692 alpha=90.00 beta=90.00 gamma=90.00
Element x y z (fractional)
Ca 0.0000 0.0000 0.4714
Te 0.5000 0.5000 0.8020
W 0.0000 0.0000 0.0346
W 0.5000 0.5000 0.1920

***

[13]
CaTe2W: relaxed, PBE-GGA.

Unit cell a=10.2958 b=10.2958 c=10.2958 alpha=20.39 beta=20.39 gamma=20.39
Element x y z (fractional)
Ca 0.0000 0.0000 0.0000
Te 0.8928 0.8928 0.8928
Te 0.1072 0.1072 0.1072
W 0.5000 0.5000 0.5000

***

[14]
CaTe2W: relaxed, PBE-GGA.

Unit cell a=4.9829 b=4.9829 c=6.9604 alpha=70.71 beta=70.71 gamma=41.88
Element x y z (fractional)
Ca 0.1968 0.1968 0.2518
Te 0.9857 0.9857 0.9801
Te 0.8110 0.8110 0.6055
W 0.5065 0.5065 0.6627

***

[15]
CaTe2W: relaxed, PBE-GGA.

Unit cell a=7.6111 b=7.6111 c=7.6111 alpha=152.71 beta=150.41 gamma=40.69
Element x y z (fractional)
Ca 0.2995 0.7995 0.5000
Te 0.9674 0.9674 0.0000
Te 0.6893 0.1893 0.5000
W 0.5439 0.5439 0.0000

***

[16]
CaTe2W: relaxed, PBE-GGA.

Unit cell a=5.0849 b=3.9521 c=5.9947 alpha=70.75 beta=90.00 gamma=90.00
Element x y z (fractional)
Ca 0.5000 0.6354 0.8542
Te 0.0000 0.0838 0.9573
Te 0.5000 0.3567 0.4119
W 0.0000 0.4241 0.2766

***

[17]
CaTe2W: relaxed, PBE-GGA.

Unit cell a=4.2951 b=3.7069 c=6.5539 alpha=85.72 beta=90.00 gamma=90.00
Element x y z (fractional)
Ca 0.5000 0.7500 0.7500
Te 0.0000 0.1293 0.0135
Te 0.0000 0.3707 0.4865
W 0.5000 0.2500 0.2500

***

[18]
CaTeW2: relaxed, PBE-GGA.

Unit cell a=3.3023 b=3.4216 c=8.2532 alpha=77.98 beta=90.00 gamma=90.00
Element x y z (fractional)
Ca 0.0000 0.5723 0.4792
Te 0.5000 0.9290 0.7691
W 0.0000 0.7854 0.0538
W 0.5000 0.2133 0.1979

***

[19]
CaTeW2: relaxed, PBE-GGA.

Unit cell a=5.6286 b=5.6286 c=2.9699 alpha=90.00 beta=90.00 gamma=120.01
Element x y z (fractional)
Ca 0.5000 0.0000 0.5000
Te 0.0000 0.5000 0.5000
W 0.0000 0.0000 0.0000
W 0.5000 0.5000 0.0000

***

[20]
CaTeW2: relaxed, PBE-GGA.

Unit cell a=5.4343 b=5.4343 c=5.0872 alpha=78.49 beta=78.49 gamma=36.46
Element x y z (fractional)
Ca 0.2500 0.2500 0.2500
Te 0.7500 0.7500 0.7500
W 0.0126 0.0126 0.9252
W 0.4874 0.4874 0.5748

***

Theoretical density readings, ordered: 11.1; 10.4; 6.3; 11.0; 10.4; 7.6; 5.6; 10.8; 9.0; 9.8; 10.8; 10.0; 6.9; 7.4; 8.0; 7.0; 7.6; 9.7; 10.9; 10.2 g/cm3
Excess energy over the best structure of this formula in the dataset readings, ordered: 1.147; 0.656; 0.171; 0.422; 0.350; 0.522; 0.309; 0.700; 0.127; 0.534; 0.407; 0.053; 0.261; 0.026; 0.036; 0.146; 0.303; 0.000; 0.726; 0.326 eV/atom
Energy relative to the elements, uncorrected readings, ordered: 1524; 363; 5; 273; 245; 140; 58; 380; -12; 316; 267; 130; 40; -51; -47; -5; 56; 110; 390; 236 kJ/mol of formula units